No. 1
Below is an optimized crystal structure of BaOsSe2, with properties calculated at the GGA-PBEsol level.

Structure (extended XYZ):
```
4
Lattice="3.219 0.000 0.000 1.610 2.788 0.000 1.610 0.929 9.854" Properties=species:S:1:pos:R:3 pbc="T T T"
Os 0.000 0.000 0.000
Se 4.829 2.788 2.323
Se 1.610 0.929 7.531
Ba 3.219 1.859 4.927
```

## Properties
- space group = R-3m
- E_tot (eV/cell) = -20.360
- formation energy without anion corrections (eV per formula unit) = 1.70
- spin magnetization (μB per cell) = 0.00

---

No. 2
Below is an optimized crystal structure of Cd3Rh2, with properties calculated at the GGA-PBEsol level.

Structure (extended XYZ):
```
5
Lattice="4.449 0.000 0.000 -2.225 3.853 0.000 0.000 0.000 5.408" Properties=species:S:1:pos:R:3 pbc="T T T"
Cd 0.000 0.000 0.000
Cd 2.225 1.284 3.461
Rh 0.000 2.569 4.659
Cd 0.000 2.569 1.948
Rh 2.225 1.284 0.750
```

## Properties
- space group = P-3m1
- E_tot (eV/cell) = -19.849
- spin magnetization (μB per cell) = 0.00
- formation energy (eV per atom) = 0.004